Entry 1:
Density functional theory data (PBE) for Li2YFe after structural relaxation.

Values from the calculation:
ΔE to the lowest computed polymorph = 136 meV/atom
formation energy from the elements = 0.37 eV/atom
raw total energy = -4.32 eV/atom

a b c (Å): 3.8606 3.8606 11.0810
angles (deg): 79.97 79.97 90.00
Closest atoms and distances in Å follow each position.
Element x y z (fractional)
Y1 0.0000 0.0000 0.0000  4 Fe 2.73
Y2 0.7500 0.2500 0.5000  4 Fe 2.73
Fe1 0.5000 0.5000 0.0000  4 Y 2.73, 4 Li 2.96
Fe2 0.2500 0.7500 0.5000  4 Y 2.73, 4 Li 2.96
Li1 0.1700 0.1250 0.2500  2 Li 2.50
Li2 0.5800 0.6250 0.2500  2 Li 2.50
Li3 0.3750 0.8300 0.7500  2 Li 2.50
Li4 0.8750 0.4200 0.7500  2 Li 2.50

Entry 2:
Density functional theory data (PBE) for Ca2CuAu after structural relaxation.

Values from the calculation:
formation energy from the elements = -0.43 eV/atom
raw total energy = -3.27 eV/atom

a b c (Å): 3.6484 5.0754 5.0754
angles (deg): 90.00 90.00 90.00
Closest atoms and distances in Å follow each position.
Element x y z (fractional)
Ca1 0.0000 0.0000 0.5000  4 Cu 3.13, 4 Au 3.13
Ca2 0.0000 0.5000 0.0000  4 Cu 3.13, 4 Au 3.13
Au1 0.5000 0.5000 0.5000  8 Ca 3.13
Cu1 0.5000 0.0000 0.0000  8 Ca 3.13

Entry 3:
Density functional theory data (PBE) for Ac4SiPdCl2 after structural relaxation.

Values from the calculation:
raw total energy = -4.97 eV/atom
uncorrected formation energy = -1.13 eV/atom

a b c (Å): 4.4247 7.5403 8.0721
angles (deg): 71.44 90.00 90.00
Closest atoms and distances in Å follow each position.
Element x y z (fractional)
Ac1 0.0000 0.7253 0.7631  2 Pd 3.06, 1 Si 3.11, 3 Cl 3.24-3.30
Ac2 0.0000 0.2747 0.2369  2 Pd 3.06, 1 Si 3.11, 3 Cl 3.24-3.30
Ac3 0.5000 0.7353 0.2584  2 Si 3.11, 1 Pd 3.14, 3 Cl 3.20-3.25
Ac4 0.5000 0.2647 0.7416  2 Si 3.11, 1 Pd 3.14, 3 Cl 3.20-3.25
Si1 0.0000 0.5000 0.5000  6 Ac 3.11
Pd1 0.5000 0.5000 0.0000  6 Ac 3.06-3.14
Cl1 0.0000 0.0000 0.0000  6 Ac 3.24-3.25
Cl2 0.5000 0.0000 0.5000  6 Ac 3.20-3.30

Entry 4:
Density functional theory data (PBE) for AcNd5Sb6 after structural relaxation.

Values from the calculation:
raw total energy = -5.57 eV/atom
uncorrected formation energy = -1.18 eV/atom

a b c (Å): 7.9229 7.9219 7.9215
angles (deg): 60.00 80.38 70.48
Closest atoms and distances in Å follow each position.
Element x y z (fractional)
Ac1 0.0000 0.0000 0.0000  6 Sb 3.30-3.31
Nd1 0.5000 0.1642 0.6715  6 Sb 3.18-3.24
Nd2 0.0000 0.3325 0.3350  6 Sb 3.23
Nd3 0.5000 0.5000 0.0000  6 Sb 3.17-3.23
Nd4 0.0000 0.6675 0.6650  6 Sb 3.23
Nd5 0.5000 0.8358 0.3285  6 Sb 3.18-3.24
Sb1 0.7443 0.0855 0.3411  5 Nd 3.18-3.24, 1 Ac 3.31
Sb2 0.2557 0.5735 0.3411  5 Nd 3.18-3.24, 1 Ac 3.31
Sb3 0.2532 0.2571 0.0000  5 Nd 3.17-3.23, 1 Ac 3.30
Sb4 0.7468 0.7429 0.0000  5 Nd 3.17-3.23, 1 Ac 3.30
Sb5 0.7443 0.4265 0.6589  5 Nd 3.18-3.24, 1 Ac 3.31
Sb6 0.2557 0.9145 0.6589  5 Nd 3.18-3.24, 1 Ac 3.31

Entry 5:
Density functional theory data (PBE) for CuOs2Cl after structural relaxation.

Values from the calculation:
ΔE to the lowest computed polymorph = 990 meV/atom
raw total energy = -5.76 eV/atom
uncorrected formation energy = 1.34 eV/atom

a b c (Å): 4.5820 4.5820 2.7654
angles (deg): 90.00 90.00 103.36
Closest atoms and distances in Å follow each position.
Element x y z (fractional)
Os1 0.0000 0.0000 0.0000  4 Cl 2.68, 4 Cu 2.68, 4 Os 2.77-2.84
Os2 0.5000 0.5000 0.0000  4 Cu 2.68, 4 Cl 2.68, 4 Os 2.77-2.84
Cu1 0.0000 0.5000 0.5000  8 Os 2.68, 2 Cu 2.77, 2 Cl 2.84
Cl1 0.5000 0.0000 0.5000  8 Os 2.68, 2 Cl 2.77, 2 Cu 2.84

Entry 6:
Density functional theory data (PBE) for LiY2Tc after structural relaxation.

Values from the calculation:
formation energy from the elements = 0.36 eV/atom
raw total energy = -5.94 eV/atom

a b c (Å): 3.3470 6.1422 5.8674
angles (deg): 48.35 90.00 90.00
Closest atoms and distances in Å follow each position.
Element x y z (fractional)
Li1 0.5000 0.5000 0.5000  6 Y 2.93-2.98
Tc1 0.0000 0.0000 0.5000  6 Y 2.93-2.98
Y1 0.0000 0.0000 0.0000  2 Tc 2.93, 4 Li 2.98
Y2 0.5000 0.5000 0.0000  2 Li 2.93, 4 Tc 2.98

Entry 7:
Density functional theory data (PBE) for ScTlFeMo2 after structural relaxation.

Values from the calculation:
ΔE to the lowest computed polymorph = 554 meV/atom
formation energy from the elements = 2.54 eV/atom
raw total energy = -5.22 eV/atom

a b c (Å): 5.0835 5.1655 5.0835
angles (deg): 90.00 90.00 90.00
Closest atoms and distances in Å follow each position.
Element x y z (fractional)
Sc1 0.0000 0.5000 0.0000  2 Tl 2.58
Tl1 0.0000 0.0000 0.0000  4 Mo 2.54, 2 Sc 2.58
Mo1 0.0000 0.0000 0.5000  2 Tl 2.54
Mo2 0.5000 0.0000 0.0000  2 Tl 2.54
Fe1 0.5000 0.5000 0.5000  4 Sc 3.59, 8 Mo 3.62

Entry 8:
Density functional theory data (PBE) for PrDy2Tm4Th after structural relaxation.

Values from the calculation:
formation energy from the elements = 0.03 eV/atom
raw total energy = -4.88 eV/atom

a b c (Å): 5.0579 5.0507 11.0825
angles (deg): 62.90 90.00 90.00
Closest atoms and distances in Å follow each position.
Element x y z (fractional)
Pr1 0.5000 0.5000 0.0000  8 Tm 3.56, 4 Dy 3.57
Dy1 0.0000 0.0000 0.0000  8 Tm 3.56-3.57, 4 Pr 3.57
Dy2 0.5000 0.0000 0.5000  8 Tm 3.50, 4 Th 3.57
Tm1 0.0000 0.7543 0.7456  2 Th 3.50, 4 Dy 3.50-3.56, 2 Pr 3.56, 4 Tm 3.57
Tm2 0.0000 0.2457 0.2544  2 Th 3.50, 4 Dy 3.50-3.56, 2 Pr 3.56, 4 Tm 3.57
Tm3 0.5000 0.7452 0.2547  4 Dy 3.50-3.57, 2 Th 3.50, 2 Pr 3.56, 4 Tm 3.57
Tm4 0.5000 0.2548 0.7453  4 Dy 3.50-3.57, 2 Th 3.50, 2 Pr 3.56, 4 Tm 3.57
Th1 0.0000 0.5000 0.5000  8 Tm 3.50, 4 Dy 3.57